A relaxed structure of TaTiNb2. Source: Alexandria via LeMat-Bulk, functional PBE.

Calculated values
For the total energy, the calculation gives -78.82 eV for the cell shown. The energy relative to the lowest polymorph listed for this composition comes out at 9.5 kJ per mole of atoms.

Lattice parameters (Å, degrees): 5.138 5.140 5.735 106.26 90.00 90.06
Space group P-1 (No. 2)
One atom of each set of equivalent atoms:
Ta1 0.126 0.250 0.250 (multiplicity 2)
Ti1 0.121 0.250 0.750 (multiplicity 2)
Nb1 0.371 0.748 0.001 (multiplicity 2)
Nb2 0.371 0.752 0.498 (multiplicity 2)